Entry a
Below is a relaxed BiSeN2 crystal, with properties calculated at the PBE-GGA level.

The value obtained for the density of states at the Fermi level is 0.347 states/eV/atom.

The space group is R-3m (No. 166, hexagonal axes) and the conventional cell measures 3.5206, 3.5206 and 19.5522 Å, with angles of 90.00, 90.00 and 120.00 degrees. The inequivalent atoms are Bi at (0.0000, 0.0000, 0.0000), Se at (0.0000, 0.0000, 0.5000) and N at (0.0000, 0.0000, 0.3993).

Entry b
Below is a relaxed BiSeN2 crystal, with properties calculated at the PBE-GGA level.

The value obtained for the density of states at the Fermi level is 0.255 states/eV/atom.

The space group is P1 (No. 1) and the conventional cell measures 3.7886, 3.7908 and 9.3025 Å, with angles of 98.35, 99.53 and 90.29 degrees. The inequivalent atoms are Bi at (0.0000, 0.0000, 0.0000), Se at (0.4476, 0.4545, 0.8717), N at (0.4858, 0.7163, 0.4065) and N at (0.6747, 0.8736, 0.4982).

Stability ranking, top and bottom: entry b is the most stable and entry a is the least stable.

Entry a
Below is a relaxed BiSe2N2 crystal, with properties calculated at the PBE-GGA level.

The value obtained for the density of states at the Fermi level is 0.456 states/eV/atom.

The space group is C2/m (No. 12) and the conventional cell measures 6.9387, 4.0181 and 12.0027 Å, with angles of 90.00, 94.99 and 90.00 degrees. The inequivalent atoms are Bi at (0.0000, 0.0000, 0.0000), Se at (0.1879, 0.5000, 0.1447) and N at (0.0535, 0.5000, 0.4680).

Entry b
Below is a relaxed BiSe2N2 crystal, with properties calculated at the PBE-GGA level.

The value obtained for the density of states at the Fermi level is 0.905 states/eV/atom.

The space group is P4/mmm (No. 123) and the conventional cell measures 5.6793, 5.6793 and 4.6669 Å, with angles of 90.00, 90.00 and 90.00 degrees. The inequivalent atoms are Bi at (0.0000, 0.0000, 0.0000), Se at (0.0000, 0.5000, 0.0000), N at (0.0000, 0.0000, 0.5000) and N at (0.5000, 0.5000, 0.5000).

Entry c
Below is a relaxed BiSe2N2 crystal, with properties calculated at the PBE-GGA level.

The value obtained for the density of states at the Fermi level is 0.777 states/eV/atom.

The space group is P4/mmm (No. 123) and the conventional cell measures 4.3123, 4.3123 and 6.0510 Å, with angles of 90.00, 90.00 and 90.00 degrees. The inequivalent atoms are Bi at (0.0000, 0.0000, 0.0000), Se at (0.0000, 0.0000, 0.5000), Se at (0.5000, 0.5000, 0.5000) and N at (0.0000, 0.5000, 0.0000).

Stability ranking, top and bottom: entry a is the most stable and entry b is the least stable.

Entry a
Below is a relaxed SnBiSe2N crystal, with properties calculated at the PBE-GGA level.

The value obtained for the density of states at the Fermi level is 0.664 states/eV/atom.

The space group is P4/mmm (No. 123) and the conventional cell measures 5.4489, 5.4489 and 3.9705 Å, with angles of 90.00, 90.00 and 90.00 degrees. The inequivalent atoms are Sn at (0.0000, 0.0000, 0.0000), Bi at (0.5000, 0.5000, 0.5000), Se at (0.0000, 0.5000, 0.0000) and N at (0.0000, 0.0000, 0.5000).

Entry b
Below is a relaxed SnBiSe2N crystal, with properties calculated at the PBE-GGA level.

The value obtained for the density of states at the Fermi level is 0.578 states/eV/atom.

The space group is P4/mmm (No. 123) and the conventional cell measures 5.5874, 5.5874 and 4.3763 Å, with angles of 90.00, 90.00 and 90.00 degrees. The inequivalent atoms are Sn at (0.0000, 0.0000, 0.0000), Bi at (0.5000, 0.5000, 0.5000), Se at (0.0000, 0.5000, 0.5000) and N at (0.5000, 0.5000, 0.0000).

Stability ranking, top and bottom: entry a is the most stable and entry b is the least stable.

Entry a
Below is a relaxed SnBiSeN2 crystal, with properties calculated at the PBE-GGA level.

The value obtained for the density of states at the Fermi level is 0.425 states/eV/atom.

The space group is P4/mmm (No. 123) and the conventional cell measures 4.2141, 4.2141 and 5.4238 Å, with angles of 90.00, 90.00 and 90.00 degrees. The inequivalent atoms are Sn at (0.0000, 0.0000, 0.0000), Bi at (0.5000, 0.5000, 0.5000), Se at (0.0000, 0.0000, 0.5000) and N at (0.0000, 0.5000, 0.0000).

Entry b
Below is a relaxed SnBiSeN2 crystal, with properties calculated at the PBE-GGA level.

The value obtained for the density of states at the Fermi level is 0.593 states/eV/atom.

The space group is P4/mmm (No. 123) and the conventional cell measures 4.3675, 4.3675 and 5.8007 Å, with angles of 90.00, 90.00 and 90.00 degrees. The inequivalent atoms are Sn at (0.0000, 0.0000, 0.0000), Bi at (0.5000, 0.5000, 0.5000), Se at (0.5000, 0.5000, 0.0000) and N at (0.0000, 0.5000, 0.5000).

Stability ranking, top and bottom: entry a is the most stable and entry b is the least stable.

Entry a
Below is a relaxed TaBiSe2N crystal, with properties calculated at the PBE-GGA level.

The value obtained for the density of states at the Fermi level is 0.662 states/eV/atom.

The space group is P4/mmm (No. 123) and the conventional cell measures 5.2500, 5.2500 and 3.9158 Å, with angles of 90.00, 90.00 and 90.00 degrees. The inequivalent atoms are Ta at (0.0000, 0.0000, 0.0000), Bi at (0.5000, 0.5000, 0.5000), Se at (0.0000, 0.5000, 0.0000) and N at (0.0000, 0.0000, 0.5000).

Entry b
Below is a relaxed TaBiSe2N crystal, with properties calculated at the PBE-GGA level.

The value obtained for the density of states at the Fermi level is 0.888 states/eV/atom.

The space group is P4/mmm (No. 123) and the conventional cell measures 5.4354, 5.4354 and 4.1313 Å, with angles of 90.00, 90.00 and 90.00 degrees. The inequivalent atoms are Ta at (0.0000, 0.0000, 0.0000), Bi at (0.5000, 0.5000, 0.5000), Se at (0.0000, 0.5000, 0.5000) and N at (0.5000, 0.5000, 0.0000).

Stability ranking, top and bottom: entry a is the most stable and entry b is the least stable.

Entry a
Below is a relaxed TcBiSeN2 crystal, with properties calculated at the PBE-GGA level.

The value obtained for the density of states at the Fermi level is 1.000 states/eV/atom.

The space group is P4/mmm (No. 123) and the conventional cell measures 4.2032, 4.2032 and 5.9040 Å, with angles of 90.00, 90.00 and 90.00 degrees. The inequivalent atoms are Tc at (0.0000, 0.0000, 0.0000), Bi at (0.5000, 0.5000, 0.5000), Se at (0.5000, 0.5000, 0.0000) and N at (0.0000, 0.5000, 0.5000).

Entry b
Below is a relaxed TcBiSeN2 crystal, with properties calculated at the PBE-GGA level.

The value obtained for the density of states at the Fermi level is 0.629 states/eV/atom.

The space group is P4/mmm (No. 123) and the conventional cell measures 3.9985, 3.9985 and 5.2309 Å, with angles of 90.00, 90.00 and 90.00 degrees. The inequivalent atoms are Tc at (0.0000, 0.0000, 0.0000), Bi at (0.5000, 0.5000, 0.5000), Se at (0.0000, 0.0000, 0.5000) and N at (0.0000, 0.5000, 0.0000).

Stability ranking, top and bottom: entry b is the most stable and entry a is the least stable.